Entry from the Alexandria database: a relaxed structure of AcMgAs2 (PBE). Values from VASP.

Quantum ESPRESSO input file:
```
&SYSTEM
  ibrav = 0, nat = 4, ntyp = 3
/
ATOMIC_SPECIES
Ac 227.00 Ac.upf
Mg 24.30 Mg.upf
As 74.92 As.upf
CELL_PARAMETERS angstrom
0.000 3.676 3.676
3.676 0.000 3.676
3.676 3.676 0.000
ATOMIC_POSITIONS crystal
Ac 0.000 0.000 0.000
Mg 0.500 0.500 0.500
As 0.250 0.250 0.250
As 0.750 0.750 0.750
```

The final energy comes out at -0.3255 Ry/atom. As for the space group: Fm-3m. The calculation puts the formation energy at -2.713 eV per formula unit.